# 1
ZrTl2Cl: single point on PBEsol structure, SCAN.

Structure (CIF):
```
data_ZrTl2Cl
_cell_length_a 3.310
_cell_length_b 3.310
_cell_length_c 8.437
_cell_angle_alpha 90.00
_cell_angle_beta 90.00
_cell_angle_gamma 90.00
_space_group_name_H-M_alt 'P 4/m m m'
_space_group_IT_number 123
_space_group_name_Hall '-P 4 2'
loop_
_atom_site_label
_atom_site_type_symbol
_atom_site_fract_x
_atom_site_fract_y
_atom_site_fract_z
Zr1 Zr 0.000 0.000 0.000
Tl1 Tl 0.500 0.500 0.243
Cl1 Cl 0.000 0.000 0.500
```

Summary:
**E_form (uncorrected)**: -0.120 eV per atom
**Final energy**: -45.97 eV per atom



# 2
NiSbP2: single point on PBEsol structure, SCAN.

Structure (CIF):
```
data_NiSbP2
_cell_length_a 3.221
_cell_length_b 5.318
_cell_length_c 7.713
_cell_angle_alpha 90.00
_cell_angle_beta 90.00
_cell_angle_gamma 90.00
_space_group_name_H-M_alt 'I m m 2'
_space_group_IT_number 44
loop_
_space_group_symop_operation_xyz
'x,y,z'
'-x,-y,z'
'-x,y,z'
'x,-y,z'
'x+1/2,y+1/2,z+1/2'
'-x+1/2,-y+1/2,z+1/2'
'-x+1/2,y+1/2,z+1/2'
'x+1/2,-y+1/2,z+1/2'
loop_
_atom_site_label
_atom_site_type_symbol
_atom_site_fract_x
_atom_site_fract_y
_atom_site_fract_z
Ni1 Ni 0.000 0.000 0.000
Sb1 Sb 0.000 0.500 0.218
P1 P 0.000 0.000 0.406
P2 P 0.000 0.500 0.697
```

Summary:
**E_form (uncorrected)**: 0.497 eV per atom
**Final energy**: -18.06 eV per atom



# 3
KZr2Rh: single point on PBEsol structure, SCAN.

Structure (CIF):
```
data_KZr2Rh
_cell_length_a 9.389
_cell_length_b 3.208
_cell_length_c 8.063
_cell_angle_alpha 90.00
_cell_angle_beta 109.10
_cell_angle_gamma 90.00
_space_group_name_H-M_alt 'C 1 m 1'
_space_group_IT_number 8
loop_
_space_group_symop_operation_xyz
'x,y,z'
'x,-y,z'
'x+1/2,y+1/2,z'
'x+1/2,-y+1/2,z'
loop_
_atom_site_label
_atom_site_type_symbol
_atom_site_fract_x
_atom_site_fract_y
_atom_site_fract_z
K1 K 0.000 0.000 0.000
Zr1 Zr 0.121 0.500 0.603
Zr2 Zr 0.349 0.500 0.364
Rh1 Rh 0.347 0.000 0.613
```

Summary:
**ΔE_f**: 0.19 eV per atom
**Final energy**: -25.68 eV per atom